(1)
# PuPa2TaN6 PBE-GGA optimized geometry
# Crystal system   trigonal
# ΔE_f (raw)   -1.339 eV per atom
# Symmetry   R3, No. 146
# Density of states at the Fermi level   9.75 states/eV/f.u.
# Uncorrected energy   -108.522 eV per cell
data_PuPa2TaN6
_symmetry_space_group_name_H-M 'P 1'
_symmetry_Int_Tables_number 1
_symmetry_space_group_name_Hall 'P 1'
_cell_length_a 5.996
_cell_length_b 5.996
_cell_length_c 5.996
_cell_angle_alpha 57.91
_cell_angle_beta 57.91
_cell_angle_gamma 57.91
loop_
_atom_site_label
_atom_site_type_symbol
_atom_site_fract_x
_atom_site_fract_y
_atom_site_fract_z
Pu1 Pu 0.000 0.000 0.000
Pa1 Pa 0.272 0.272 0.272
Pa2 Pa 0.776 0.776 0.776
Ta1 Ta 0.487 0.487 0.487
N1 N 0.099 0.654 0.393
N2 N 0.202 0.586 0.840
N3 N 0.393 0.099 0.654
N4 N 0.586 0.840 0.202
N5 N 0.654 0.393 0.099
N6 N 0.840 0.202 0.586

(2)
# YBe2Nb2 PBE-GGA optimized geometry
# Crystal system   tetragonal
# Symmetry   I4/mmm, No. 139
# Density of states at the Fermi level   5.92 states/eV/f.u.
# Formation energy from the elements   0.0557 eV/atom
# Uncorrected energy   -33.777 eV per cell
data_YBe2Nb2
_symmetry_space_group_name_H-M 'P 1'
_symmetry_Int_Tables_number 1
_symmetry_space_group_name_Hall 'P 1'
_cell_length_a 6.292
_cell_length_b 6.292
_cell_length_c 6.292
_cell_angle_alpha 143.66
_cell_angle_beta 143.66
_cell_angle_gamma 52.34
loop_
_atom_site_label
_atom_site_type_symbol
_atom_site_fract_x
_atom_site_fract_y
_atom_site_fract_z
Y1 Y 0.000 0.000 0.000
Be1 Be 0.402 0.402 0.000
Be2 Be 0.598 0.598 0.000
Nb1 Nb 0.250 0.750 0.500
Nb2 Nb 0.750 0.250 0.500

(3)
# SrTl2Mo PBE-GGA optimized geometry
# Crystal system   tetragonal
# Symmetry   I-4m2, No. 119
# Density of states at the Fermi level   4.04 states/eV/f.u.
# Formation energy from the elements   0.6333 eV/atom
# Uncorrected energy   -14.712 eV per cell
data_SrTl2Mo
_symmetry_space_group_name_H-M 'P 1'
_symmetry_Int_Tables_number 1
_symmetry_space_group_name_Hall 'P 1'
_cell_length_a 5.991
_cell_length_b 5.991
_cell_length_c 5.991
_cell_angle_alpha 135.59
_cell_angle_beta 135.59
_cell_angle_gamma 64.61
loop_
_atom_site_label
_atom_site_type_symbol
_atom_site_fract_x
_atom_site_fract_y
_atom_site_fract_z
Sr1 Sr 0.000 0.000 0.000
Tl1 Tl 0.250 0.750 0.500
Tl2 Tl 0.500 0.500 0.000
Mo1 Mo 0.750 0.250 0.500

Repeat the first record exactly.
# PuPa2TaN6 PBE-GGA optimized geometry
# Crystal system   trigonal
# ΔE_f (raw)   -1.339 eV per atom
# Symmetry   R3, No. 146
# Density of states at the Fermi level   9.75 states/eV/f.u.
# Uncorrected energy   -108.522 eV per cell
data_PuPa2TaN6
_symmetry_space_group_name_H-M 'P 1'
_symmetry_Int_Tables_number 1
_symmetry_space_group_name_Hall 'P 1'
_cell_length_a 5.996
_cell_length_b 5.996
_cell_length_c 5.996
_cell_angle_alpha 57.91
_cell_angle_beta 57.91
_cell_angle_gamma 57.91
loop_
_atom_site_label
_atom_site_type_symbol
_atom_site_fract_x
_atom_site_fract_y
_atom_site_fract_z
Pu1 Pu 0.000 0.000 0.000
Pa1 Pa 0.272 0.272 0.272
Pa2 Pa 0.776 0.776 0.776
Ta1 Ta 0.487 0.487 0.487
N1 N 0.099 0.654 0.393
N2 N 0.202 0.586 0.840
N3 N 0.393 0.099 0.654
N4 N 0.586 0.840 0.202
N5 N 0.654 0.393 0.099
N6 N 0.840 0.202 0.586

density of states at the Fermi level of number 1 (PuPa2TaN6)?
9.75 states/eV/f.u.